1.
This record from Alexandria describes a relaxed B2IrPt2 crystal. The functional is GGA-PBE.

Cell lengths 3.580, 5.638, 7.665 Å; angles 123.36, 103.51, 90.00 degrees
Sites, in units of the cell vectors:
Pt1 0.565 0.383 0.130
Pt2 0.435 0.617 0.870
Pt3 0.097 0.996 0.195
B1 0.617 0.816 0.235
Ir1 0.774 0.241 0.548
Pt4 0.903 0.004 0.805
Ir2 0.226 0.759 0.452
B2 0.383 0.184 0.765
B3 0.254 0.429 0.509
B4 0.746 0.571 0.491

Output
DFT formation energy, eV per atom: -0.181
SG: C2/m, No. 12
VASP energy, eV for the cell shown: -70.4
Fermi-level density of states, states/eV/f.u.: 1.395

=====

2.
This record from Alexandria describes a relaxed B3Ir2Pt2 crystal. The functional is GGA-PBE.

Cell lengths 3.457, 5.493, 5.451 Å; angles 107.37, 108.49, 90.00 degrees
Sites, in units of the cell vectors:
B1 0.792 0.279 0.583
Ir1 0.818 0.686 0.636
B2 0.000 0.000 0.000
Pt1 0.395 0.112 0.790
B3 0.208 0.721 0.417
Pt2 0.605 0.888 0.210
Ir2 0.182 0.314 0.364

Output
DFT formation energy, eV per atom: 0.000
SG: C2/m, No. 12
VASP energy, eV for the cell shown: -49.8
Fermi-level density of states, states/eV/f.u.: 2.685

=====

3.
This record from Alexandria describes a relaxed B2IrPt2 crystal. The functional is GGA-PBE.

Cell lengths 5.716, 5.716, 3.590 Å; angles 90.00, 90.00, 90.00 degrees
Sites, in units of the cell vectors:
B1 0.615 0.115 0.000
B2 0.885 0.615 0.000
B3 0.385 0.885 0.000
B4 0.115 0.385 0.000
Ir1 0.500 0.500 0.000
Ir2 0.000 0.000 0.000
Pt1 0.313 0.187 0.500
Pt2 0.813 0.313 0.500
Pt3 0.687 0.813 0.500
Pt4 0.187 0.687 0.500

Output
DFT formation energy, eV per atom: 0.162
SG: P4/mbm, No. 127
VASP energy, eV for the cell shown: -67.0
Fermi-level density of states, states/eV/f.u.: 3.860

=====

4.
This record from Alexandria describes a relaxed B3Ir5Pt crystal. The functional is GGA-PBE.

Cell lengths 6.770, 6.817, 6.817 Å; angles 63.44, 69.71, 102.11 degrees
Sites, in units of the cell vectors:
B1 0.321 0.321 0.999
Ir1 0.954 0.161 0.206
B2 0.917 0.337 0.419
Pt1 0.383 0.167 0.784
B3 0.679 0.679 0.001
Ir2 0.323 0.618 0.715
Ir3 0.323 0.038 0.295
Ir4 0.046 0.839 0.794
Ir5 0.000 0.295 0.705
B4 0.000 0.000 0.000
Pt2 0.617 0.833 0.216
Ir6 0.677 0.962 0.705
Ir7 0.677 0.382 0.285
Ir8 0.699 0.504 0.806
Ir9 0.301 0.496 0.194
B5 0.500 0.000 0.500
B6 0.083 0.663 0.581
Ir10 0.000 0.705 0.295

Output
DFT formation energy, eV per atom: 0.074
SG: C2/m, No. 12
VASP energy, eV for the cell shown: -139.4
Fermi-level density of states, states/eV/f.u.: 6.538

=====

5.
This record from Alexandria describes a relaxed B7IrPt12 crystal. The functional is GGA-PBE.

Cell lengths 7.049, 7.049, 7.049 Å; angles 109.45, 109.45, 109.45 degrees
Sites, in units of the cell vectors:
Pt1 0.167 0.393 0.491
Pt2 0.833 0.607 0.509
B1 0.611 0.833 0.941
Pt3 0.393 0.491 0.167
Pt4 0.491 0.167 0.393
B2 0.389 0.167 0.059
B3 0.167 0.059 0.389
Pt5 0.806 0.874 0.279
Ir1 0.000 0.000 0.000
B4 0.941 0.611 0.833
Pt6 0.279 0.806 0.874
Pt7 0.874 0.279 0.806
B5 0.059 0.389 0.167
Pt8 0.194 0.126 0.721
Pt9 0.721 0.194 0.126
Pt10 0.607 0.509 0.833
Pt11 0.126 0.721 0.194
Pt12 0.509 0.833 0.607
B6 0.500 0.500 0.500
B7 0.833 0.941 0.611

Output
DFT formation energy, eV per atom: -0.081
SG: R-3, No. 148
VASP energy, eV for the cell shown: -129.7
Fermi-level density of states, states/eV/f.u.: 7.103

=====

6.
This record from Alexandria describes a relaxed BIr3Pt crystal. The functional is GGA-PBE.

Cell lengths 4.116, 4.116, 4.116 Å; angles 90.00, 90.00, 90.00 degrees
Sites, in units of the cell vectors:
B1 0.000 0.000 0.000
Pt1 0.500 0.500 0.500
Ir1 0.000 0.000 0.500
Ir2 0.500 0.000 0.000
Ir3 0.000 0.500 0.000

Output
DFT formation energy, eV per atom: 0.268
SG: Pm-3m, No. 221
VASP energy, eV for the cell shown: -38.0
Fermi-level density of states, states/eV/f.u.: 7.263

=====

7.
This record from Alexandria describes a relaxed B3Ir3Pt crystal. The functional is GGA-PBE.

Cell lengths 6.453, 6.453, 6.453 Å; angles 56.89, 56.89, 56.89 degrees
Sites, in units of the cell vectors:
Ir1 0.124 0.801 0.406
Ir2 0.199 0.594 0.876
Ir3 0.594 0.876 0.199
Ir4 0.406 0.124 0.801
Pt1 0.669 0.669 0.669
B1 0.456 0.729 0.069
B2 0.544 0.271 0.931
Ir5 0.801 0.406 0.124
Ir6 0.876 0.199 0.594
B3 0.729 0.069 0.456
B4 0.069 0.456 0.729
B5 0.271 0.931 0.544
B6 0.931 0.544 0.271
Pt2 0.331 0.331 0.331

Output
DFT formation energy, eV per atom: -0.139
SG: R-3, No. 148
VASP energy, eV for the cell shown: -107.3
Fermi-level density of states, states/eV/f.u.: 2.384

=====

8.
This record from Alexandria describes a relaxed B4Ir2Pt5 crystal. The functional is GGA-PBE.

Cell lengths 3.253, 5.389, 8.508 Å; angles 100.77, 101.02, 90.00 degrees
Sites, in units of the cell vectors:
Ir1 0.425 0.403 0.849
Pt1 0.138 0.217 0.275
B1 0.923 0.164 0.846
Pt2 0.219 0.764 0.438
B2 0.309 0.523 0.618
Pt3 0.781 0.236 0.562
B3 0.691 0.477 0.382
Pt4 0.499 0.000 0.000
Ir2 0.576 0.597 0.151
B4 0.077 0.836 0.154
Pt5 0.862 0.783 0.725

Output
DFT formation energy, eV per atom: -0.071
SG: C2/m, No. 12
VASP energy, eV for the cell shown: -75.4
Fermi-level density of states, states/eV/f.u.: 6.132

=====

9.
This record from Alexandria describes a relaxed BIr3Pt crystal. The functional is GGA-PBE.

Cell lengths 4.806, 4.806, 4.806 Å; angles 90.00, 90.00, 90.00 degrees
Site moments in Bohr magnetons follow the coordinates.
Sites, in units of the cell vectors:
Ir1 0.500 0.000 0.000  0.34
Pt1 0.000 0.000 0.000  0.43
Ir2 0.000 0.500 0.000  0.51
Ir3 0.000 0.000 0.500  0.97
B1 0.500 0.500 0.500  -0.04

Output
DFT formation energy, eV per atom: 2.871
SG: Pm-3m, No. 221
VASP energy, eV for the cell shown: -24.9
Fermi-level density of states, states/eV/f.u.: 7.760

=====

10.
This record from Alexandria describes a relaxed B3IrPt crystal. The functional is GGA-PBE.

Cell lengths 4.069, 4.069, 4.069 Å; angles 90.00, 90.00, 90.00 degrees
Sites, in units of the cell vectors:
Ir1 0.000 0.000 0.000
B1 0.000 0.000 0.500
B2 0.500 0.000 0.000
Pt1 0.500 0.500 0.500
B3 0.000 0.500 0.000

Output
DFT formation energy, eV per atom: 1.109
SG: Pm-3m, No. 221
VASP energy, eV for the cell shown: -29.4
Fermi-level density of states, states/eV/f.u.: 4.270

=====

11.
This record from Alexandria describes a relaxed BIrRu2Pt crystal. The functional is GGA-PBE.

Cell lengths 4.075, 4.084, 4.075 Å; angles 90.00, 90.00, 90.00 degrees
Sites, in units of the cell vectors:
B1 0.000 0.000 0.000
Ir1 0.000 0.500 0.000
Pt1 0.500 0.500 0.500
Ru1 0.500 0.000 0.000
Ru2 0.000 0.000 0.500

Output
DFT formation energy, eV per atom: 0.186
SG: P4/mmm, No. 123
VASP energy, eV for the cell shown: -39.2
Fermi-level density of states, states/eV/f.u.: 5.606

=====

12.
This record from Alexandria describes a relaxed ScBIr2Pt crystal. The functional is GGA-PBE.

Cell lengths 4.169, 4.169, 4.207 Å; angles 90.00, 90.00, 90.00 degrees
Sites, in units of the cell vectors:
Ir1 0.000 0.500 0.000
Ir2 0.500 0.000 0.000
B1 0.000 0.000 0.000
Sc1 0.500 0.500 0.500
Pt1 0.000 0.000 0.500

Output
DFT formation energy, eV per atom: -0.661
SG: P4/mmm, No. 123
VASP energy, eV for the cell shown: -40.1
Fermi-level density of states, states/eV/f.u.: 0.141

=====

13.
This record from Alexandria describes a relaxed ScBIrPt2 crystal. The functional is GGA-PBE.

Cell lengths 4.262, 4.262, 4.140 Å; angles 90.00, 90.00, 90.00 degrees
Sites, in units of the cell vectors:
Pt1 0.500 0.000 0.000
Sc1 0.500 0.500 0.500
Ir1 0.000 0.000 0.500
Pt2 0.000 0.500 0.000
B1 0.000 0.000 0.000

Output
DFT formation energy, eV per atom: -0.650
SG: P4/mmm, No. 123
VASP energy, eV for the cell shown: -37.2
Fermi-level density of states, states/eV/f.u.: 2.644

=====

14.
This record from Alexandria describes a relaxed SrBIrPt2 crystal. The functional is GGA-PBE.

Cell lengths 4.413, 4.413, 4.239 Å; angles 90.00, 90.00, 90.00 degrees
Sites, in units of the cell vectors:
B1 0.000 0.000 0.000
Ir1 0.000 0.000 0.500
Pt1 0.000 0.500 0.000
Pt2 0.500 0.000 0.000
Sr1 0.500 0.500 0.500

Output
DFT formation energy, eV per atom: -0.416
SG: P4/mmm, No. 123
VASP energy, eV for the cell shown: -31.4
Fermi-level density of states, states/eV/f.u.: 1.229

=====

15.
This record from Alexandria describes a relaxed SrB6Ir2Pt2 crystal. The functional is GGA-PBE.

Cell lengths 5.595, 4.965, 6.789 Å; angles 106.45, 90.58, 59.96 degrees
Sites, in units of the cell vectors:
B1 0.900 0.157 0.446
B2 0.455 0.364 0.920
Pt1 0.257 0.811 0.834
B3 0.100 0.843 0.554
Ir1 0.175 0.675 0.235
B4 0.167 0.332 0.925
Pt2 0.743 0.189 0.166
B5 0.833 0.668 0.075
Ir2 0.825 0.325 0.765
B6 0.545 0.636 0.080
Sr1 0.500 0.000 0.500

Output
DFT formation energy, eV per atom: -0.098
SG: P-1, No. 2
VASP energy, eV for the cell shown: -72.6
Fermi-level density of states, states/eV/f.u.: 4.410

=====

16.
This record from Alexandria describes a relaxed Tb3B2IrPt9 crystal. The functional is GGA-PBE.

Cell lengths 5.688, 5.688, 9.515 Å; angles 90.00, 90.00, 120.00 degrees
Sites, in units of the cell vectors:
Pt1 0.500 0.500 0.000
Tb1 0.000 0.000 0.000
Pt2 0.676 0.838 0.276
Pt3 0.162 0.838 0.276
Pt4 0.324 0.162 0.724
Ir1 0.000 0.000 0.500
Tb2 0.667 0.333 0.408
B1 0.333 0.667 0.146
Pt5 0.838 0.162 0.724
Pt6 0.000 0.500 0.000
B2 0.667 0.333 0.854
Pt7 0.500 0.000 0.000
Pt8 0.162 0.324 0.276
Pt9 0.838 0.676 0.724
Tb3 0.333 0.667 0.592

Output
DFT formation energy, eV per atom: -0.739
SG: P-3m1, No. 164
VASP energy, eV for the cell shown: -101.6
Fermi-level density of states, states/eV/f.u.: 7.798

=====

17.
This record from Alexandria describes a relaxed ThB2Ir2Pt crystal. The functional is GGA-PBE.

Cell lengths 4.028, 4.028, 6.510 Å; angles 108.02, 108.02, 90.00 degrees
Sites, in units of the cell vectors:
Ir1 0.750 0.250 0.500
Ir2 0.250 0.750 0.500
Th1 0.500 0.500 0.000
Pt1 0.000 0.000 0.000
B1 0.184 0.184 0.368
B2 0.816 0.816 0.632

Output
DFT formation energy, eV per atom: -0.644
SG: I4/mmm, No. 139
VASP energy, eV for the cell shown: -48.4
Fermi-level density of states, states/eV/f.u.: 1.541

=====

18.
This record from Alexandria describes a relaxed ThB2IrPt2 crystal. The functional is GGA-PBE.

Cell lengths 3.942, 3.942, 6.919 Å; angles 106.55, 106.55, 90.00 degrees
Sites, in units of the cell vectors:
Th1 0.500 0.500 0.000
Pt1 0.250 0.750 0.500
B1 0.831 0.831 0.662
Pt2 0.750 0.250 0.500
Ir1 0.000 0.000 0.000
B2 0.169 0.169 0.338

Output
DFT formation energy, eV per atom: -0.534
SG: I4/mmm, No. 139
VASP energy, eV for the cell shown: -44.9
Fermi-level density of states, states/eV/f.u.: 2.106

=====

19.
This record from Alexandria describes a relaxed U2B2Ir5Pt crystal. The functional is GGA-PBE.

Cell lengths 3.533, 9.193, 9.193 Å; angles 90.00, 90.00, 90.00 degrees
Site moments in Bohr magnetons follow the coordinates.
Sites, in units of the cell vectors:
U1 0.000 0.680 0.180  1.24
Ir1 0.500 0.928 0.217  -0.10
Ir2 0.500 0.217 0.072  -0.10
Ir3 0.500 0.783 0.928  -0.10
U2 0.000 0.320 0.820  1.24
Ir4 0.500 0.500 0.000  -0.07
B1 0.000 0.880 0.380  0.01
Ir5 0.500 0.572 0.717  -0.10
Ir6 0.500 0.072 0.783  -0.10
Ir7 0.500 0.000 0.500  -0.07
Pt1 0.000 0.500 0.500  -0.07
B2 0.000 0.380 0.120  0.01
Pt2 0.000 0.000 0.000  -0.07
Ir8 0.500 0.428 0.283  -0.10
B3 0.000 0.120 0.620  0.01
B4 0.000 0.620 0.880  0.01
Ir9 0.500 0.283 0.572  -0.10
U3 0.000 0.820 0.680  1.24
Ir10 0.500 0.717 0.428  -0.10
U4 0.000 0.180 0.320  1.24

Output
DFT formation energy, eV per atom: -0.466
SG: P4/mbm, No. 127
VASP energy, eV for the cell shown: -181.9
Fermi-level density of states, states/eV/f.u.: 9.567

=====

20.
This record from Alexandria describes a relaxed YBIr2Pt crystal. The functional is GGA-PBE.

Cell lengths 4.243, 4.243, 4.303 Å; angles 90.00, 90.00, 90.00 degrees
Sites, in units of the cell vectors:
Y1 0.500 0.500 0.500
Ir1 0.000 0.500 0.000
Ir2 0.500 0.000 0.000
Pt1 0.000 0.000 0.500
B1 0.000 0.000 0.000

Output
DFT formation energy, eV per atom: -0.688
SG: P4/mmm, No. 123
VASP energy, eV for the cell shown: -40.3
Fermi-level density of states, states/eV/f.u.: 0.484

=====

21.
This record from Alexandria describes a relaxed YBIrPt2 crystal. The functional is GGA-PBE.

Cell lengths 4.355, 4.355, 4.201 Å; angles 90.00, 90.00, 90.00 degrees
Sites, in units of the cell vectors:
Pt1 0.500 0.000 0.000
B1 0.000 0.000 0.000
Pt2 0.000 0.500 0.000
Ir1 0.000 0.000 0.500
Y1 0.500 0.500 0.500

Output
DFT formation energy, eV per atom: -0.713
SG: P4/mmm, No. 123
VASP energy, eV for the cell shown: -37.6
Fermi-level density of states, states/eV/f.u.: 2.683

=====

22.
This record from Alexandria describes a relaxed PuBIr2 crystal. The functional is GGA-PBE.

Cell lengths 3.698, 5.201, 6.728 Å; angles 90.00, 90.00, 110.82 degrees
Site moments in Bohr magnetons follow the coordinates.
Sites, in units of the cell vectors:
B1 0.777 0.553 0.750  0.01
B2 0.223 0.447 0.250  0.01
Pu1 0.940 0.880 0.250  4.61
Ir1 0.348 0.695 0.550  -0.29
Pu2 0.060 0.120 0.750  4.61
Ir2 0.652 0.305 0.050  -0.29
Ir3 0.652 0.305 0.450  -0.29
Ir4 0.348 0.695 0.950  -0.29

Output
DFT formation energy, eV per atom: -0.256
SG: Cmcm, No. 63
VASP energy, eV for the cell shown: -79.5
Fermi-level density of states, states/eV/f.u.: 7.670

=====

23.
This record from Alexandria describes a relaxed PuBIr6 crystal. The functional is GGA-PBE.

Cell lengths 5.665, 5.665, 5.730 Å; angles 60.37, 60.37, 60.00 degrees
Site moments in Bohr magnetons follow the coordinates.
Sites, in units of the cell vectors:
Ir1 0.899 0.438 0.764  -0.06
B1 0.000 0.000 0.000  0.01
Ir2 0.101 0.101 0.236  -0.06
Pu1 0.500 0.500 0.500  4.81
Ir3 0.562 0.101 0.236  -0.06
Ir4 0.438 0.899 0.764  -0.06
Ir5 0.101 0.562 0.236  -0.06
Ir6 0.899 0.899 0.764  -0.06

Output
DFT formation energy, eV per atom: -0.063
SG: R-3m, No. 166
VASP energy, eV for the cell shown: -74.7
Fermi-level density of states, states/eV/f.u.: 13.853